[1]
Entry from Alexandria via LeMat-Bulk: Na2SnRuPb after structural relaxation (GGA-PBE).

Computed properties:
Magnetic moment in μB/f.u.: 1.28
Raw total energy in eV/cell: -15.469
Energy of formation in eV/atom: 0.8313

a b c (Å): 5.5797 5.1088 5.5797
angles (deg): 90.00 90.00 90.00
With the nearest neighbours (Å) after each atom.
Element x y z (fractional)
Pb1 0.0000 0.0000 0.0000  2 Ru 2.55, 4 Na 2.79
Ru1 0.0000 0.5000 0.0000  2 Pb 2.55
Sn1 0.5000 0.5000 0.5000  8 Na 3.78, 4 Ru 3.95
Na1 0.0000 0.0000 0.5000  2 Pb 2.79
Na2 0.5000 0.0000 0.0000  2 Pb 2.79

***

[2]
Entry from Alexandria via LeMat-Bulk: NbGaPd after structural relaxation (GGA-PBE).

Computed properties:
Magnetic moment in μB/f.u.: 0.00
Raw total energy in eV/cell: -78.053
Energy of formation in eV/atom: -0.4079

a b c (Å): 4.4832 5.8345 7.4600
angles (deg): 95.02 90.00 90.00
With the nearest neighbours (Å) after each atom.
Element x y z (fractional)
Ga1 0.2500 0.1607 0.7464  4 Pd 2.62-2.76, 3 Nb 2.74-2.86, 2 Ga 2.92
Ga2 0.7500 0.3393 0.2536  4 Pd 2.62-2.76, 3 Nb 2.74-2.86, 2 Ga 2.92
Ga3 0.7500 0.8393 0.2536  4 Pd 2.62-2.76, 3 Nb 2.74-2.86, 2 Ga 2.92
Ga4 0.2500 0.6607 0.7464  4 Pd 2.62-2.76, 3 Nb 2.74-2.86, 2 Ga 2.92
Nb1 0.2500 0.5848 0.1031  5 Ga 2.74-2.94, 4 Nb 2.85-2.92, 2 Pd 2.85-2.88
Nb2 0.2500 0.0848 0.1031  5 Ga 2.74-2.94, 4 Nb 2.85-2.92, 2 Pd 2.85-2.88
Nb3 0.7500 0.4152 0.8969  5 Ga 2.74-2.94, 4 Nb 2.85-2.92, 2 Pd 2.85-2.88
Nb4 0.7500 0.9152 0.8969  5 Ga 2.74-2.94, 4 Nb 2.85-2.92, 2 Pd 2.85-2.88
Pd1 0.2500 0.8675 0.4353  4 Ga 2.62-2.76, 6 Pd 2.84-2.92, 2 Nb 2.85-2.88
Pd2 0.2500 0.3675 0.4353  4 Ga 2.62-2.76, 6 Pd 2.84-2.92, 2 Nb 2.85-2.88
Pd3 0.7500 0.1325 0.5647  4 Ga 2.62-2.76, 6 Pd 2.84-2.92, 2 Nb 2.85-2.88
Pd4 0.7500 0.6325 0.5647  4 Ga 2.62-2.76, 6 Pd 2.84-2.92, 2 Nb 2.85-2.88

***

[3]
Entry from Alexandria via LeMat-Bulk: Na2GePt after structural relaxation (GGA-PBE).

Computed properties:
Magnetic moment in μB/f.u.: 0.00
Raw total energy in eV/cell: -28.198
Energy of formation in eV/atom: -0.2007

a b c (Å): 5.3493 5.7959 5.7959
angles (deg): 105.37 90.00 90.00
With the nearest neighbours (Å) after each atom.
Element x y z (fractional)
Na1 0.7500 0.0287 0.6702  4 Pt 2.98-3.17, 2 Ge 3.25, 3 Na 3.29-3.31
Na2 0.2500 0.9713 0.3298  4 Pt 2.98-3.17, 2 Ge 3.25, 3 Na 3.29-3.31
Na3 0.2500 0.3298 0.9713  4 Pt 2.98-3.17, 2 Ge 3.25, 3 Na 3.29-3.31
Na4 0.7500 0.6702 0.0287  4 Pt 2.98-3.17, 2 Ge 3.25, 3 Na 3.29-3.31
Ge1 0.0000 0.5000 0.5000  2 Pt 2.48, 2 Ge 2.67
Ge2 0.5000 0.5000 0.5000  2 Pt 2.48, 2 Ge 2.67
Pt1 0.7500 0.2029 0.2029  2 Ge 2.48
Pt2 0.2500 0.7971 0.7971  2 Ge 2.48

***

[4]
Entry from Alexandria via LeMat-Bulk: AgAuCl3 after structural relaxation (GGA-PBE).

Computed properties:
Magnetic moment in μB/f.u.: 0.00
Raw total energy in eV/cell: -12.008
E_form (uncorrected) in meV/atom: -68
ΔE to the lowest computed polymorph in meV/atom: 201

a b c (Å): 5.0490 5.0490 5.0490
angles (deg): 90.00 90.00 90.00
With the nearest neighbours (Å) after each atom.
Element x y z (fractional)
Au1 0.0000 0.0000 0.0000  6 Cl 2.52
Ag1 0.5000 0.5000 0.5000  12 Cl 3.57
Cl1 0.0000 0.5000 0.0000  2 Au 2.52
Cl2 0.0000 0.0000 0.5000  2 Au 2.52
Cl3 0.5000 0.0000 0.0000  2 Au 2.52

***

[5]
Entry from Alexandria via LeMat-Bulk: Ta3Co after structural relaxation (GGA-PBE).

Computed properties:
Magnetic moment in μB/f.u.: 0.16
Raw total energy in eV/cell: -42.486
Energy of formation in eV/atom: 0.0444

a b c (Å): 4.9079 2.9785 5.3708
angles (deg): 73.90 62.81 90.00
With the nearest neighbours (Å) after each atom.
Element x y z (fractional)
Co1 0.9826 0.0000 0.0000  6 Ta 2.58-2.62
Ta1 0.1061 0.7249 0.5501  2 Co 2.58
Ta2 0.4218 0.5000 0.0000  2 Co 2.62, 4 Ta 2.91
Ta3 0.6562 0.2751 0.4499  2 Co 2.58

***

[6]
Entry from Alexandria via LeMat-Bulk: PmPr4Pb5 after structural relaxation (GGA-PBE).

Computed properties:
Magnetic moment in μB/f.u.: 0.00
Raw total energy in eV/cell: -46.660
Energy of formation in eV/atom: -0.4250
ΔE to the lowest computed polymorph in meV/atom: 74

a b c (Å): 6.5017 7.9740 7.9740
angles (deg): 80.43 65.94 65.94
With the nearest neighbours (Å) after each atom.
Element x y z (fractional)
Pm1 0.0016 0.0000 0.0000  6 Pb 3.23-3.25
Pr1 0.4021 0.3991 0.7984  6 Pb 3.25-3.27
Pr2 0.8012 0.7984 0.6009  6 Pb 3.25-3.27
Pr3 0.2005 0.2016 0.3991  6 Pb 3.25-3.27
Pr4 0.5996 0.6009 0.2016  6 Pb 3.25-3.27
Pb1 0.9011 0.3972 0.8023  1 Pm 3.23, 5 Pr 3.25-3.27
Pb2 0.2983 0.8023 0.6028  1 Pm 3.23, 5 Pr 3.25-3.27
Pb3 0.7034 0.1977 0.3972  1 Pm 3.23, 5 Pr 3.25-3.27
Pb4 0.1006 0.6028 0.1977  1 Pm 3.23, 5 Pr 3.25-3.27
Pb5 0.5018 0.0000 0.0000  2 Pm 3.25, 4 Pr 3.26

***

[7]
Entry from Alexandria via LeMat-Bulk: B5C7 after structural relaxation (GGA-PBE).

Computed properties:
Magnetic moment in μB/f.u.: 0.00
Raw total energy in eV/cell: -93.379
Energy of formation in eV/atom: 0.3813
ΔE to the lowest computed polymorph in meV/atom: 123

a b c (Å): 2.6217 4.4203 6.7663
angles (deg): 89.19 90.00 90.00
With the nearest neighbours (Å) after each atom.
Element x y z (fractional)
B1 0.5000 0.8459 0.3519  4 C 1.60-1.74
B2 0.5000 0.5554 0.0120  3 C 1.56-1.57
B3 0.5000 0.1629 0.8865  1 C 1.56
B4 0.0000 0.3461 0.3421  4 C 1.62-1.70
B5 0.0000 0.9709 0.0216  2 C 1.56-1.71
C1 0.5000 0.4936 0.2397  4 B 1.56-1.74
C2 0.0000 0.6636 0.6683  4 C 1.54-1.58
C3 0.0000 0.3357 0.5827  3 C 1.57-1.58, 1 B 1.63
C4 0.0000 0.9892 0.2514  4 B 1.56-1.70
C5 0.0000 0.6378 0.8958  1 C 1.54, 3 B 1.57-1.71
C6 0.5000 0.1691 0.6556  1 B 1.56, 3 C 1.57-1.58
C7 0.5000 0.8298 0.5925  3 C 1.57-1.58, 1 B 1.63

***

[8]
Entry from Alexandria via LeMat-Bulk: Al2C after structural relaxation (GGA-PBE).

Computed properties:
Magnetic moment in μB/f.u.: 0.00
Raw total energy in eV/cell: -65.836
Energy of formation in eV/atom: 0.0834

a b c (Å): 3.0630 5.4351 9.1222
angles (deg): 90.00 90.00 90.00
With the nearest neighbours (Å) after each atom.
Element x y z (fractional)
C1 0.2500 0.7500 0.5000  6 Al 2.07-2.08
C2 0.7500 0.7500 0.0000  6 Al 2.07-2.08
C3 0.2500 0.2500 0.0000  6 Al 2.07-2.08
C4 0.7500 0.2500 0.5000  6 Al 2.07-2.08
Al1 0.2500 0.9213 0.8852  3 C 2.07-2.08
Al2 0.7500 0.5787 0.3852  3 C 2.07-2.08
Al3 0.2500 0.4213 0.6148  3 C 2.07-2.08
Al4 0.7500 0.0787 0.1148  3 C 2.07-2.08
Al5 0.2500 0.0787 0.3852  3 C 2.07-2.08
Al6 0.7500 0.4213 0.8852  3 C 2.07-2.08
Al7 0.2500 0.5787 0.1148  3 C 2.07-2.08
Al8 0.7500 0.9213 0.6148  3 C 2.07-2.08